## NdGe2PtRh (PBE)

Data for crystalline NdGe2PtRh at its relaxed geometry.

Values from the calculation:
The energy of formation from the pure elements is -0.86 eV per atom. Its mass density is 10.5 Mg/m³. The value obtained for the total moment is 0.00 μB per cell. The total energy is -6.34 eV per atom.

```
data_NdGe2PtRh
_chemical_formula_sum 'Nd2 Ge4 Pt2 Rh2'
_cell_length_a 4.1838
_cell_length_b 4.1838
_cell_length_c 10.6493
_cell_angle_alpha 90.00
_cell_angle_beta 90.00
_cell_angle_gamma 90.00
_space_group_name_H-M_alt 'I -4 m 2'
_space_group_IT_number 119
_space_group_name_Hall 'I -4 -2'
loop_
_atom_site_label
_atom_site_fract_x
_atom_site_fract_y
_atom_site_fract_z
Nd1 0.0000 0.0000 0.0000
Ge1 0.0000 0.0000 0.3818
Pt1 0.0000 0.5000 0.7500
Rh1 0.0000 0.5000 0.2500
```

## NdGe2PtRh2 (PBE)

Data for crystalline NdGe2PtRh2 at its relaxed geometry.

Values from the calculation:
The energy of formation from the pure elements is -0.22 eV per atom. Its mass density is 9.3 Mg/m³. The value obtained for the total moment is 0.00 μB per cell. The total energy is -6.02 eV per atom.

```
data_NdGe2PtRh2
_chemical_formula_sum 'Nd1 Ge2 Pt1 Rh2'
_cell_length_a 4.6742
_cell_length_b 4.6742
_cell_length_c 5.6303
_cell_angle_alpha 90.00
_cell_angle_beta 90.00
_cell_angle_gamma 90.00
_space_group_name_H-M_alt 'P 4/m m m'
_space_group_IT_number 123
_space_group_name_Hall '-P 4 2'
loop_
_atom_site_label
_atom_site_fract_x
_atom_site_fract_y
_atom_site_fract_z
Nd1 0.0000 0.0000 0.0000
Ge1 0.0000 0.5000 0.5000
Pt1 0.0000 0.0000 0.5000
Rh1 0.5000 0.5000 0.2453
```

## Nd2Ge3RuPt4 (PBE)

Data for crystalline Nd2Ge3RuPt4 at its relaxed geometry.

Values from the calculation:
The energy of formation from the pure elements is -0.74 eV per atom. Its mass density is 11.9 Mg/m³. The value obtained for the total moment is 0.65 μB per cell. The total energy is -6.42 eV per atom.

```
data_Nd2Ge3RuPt4
_chemical_formula_sum 'Nd2 Ge3 Ru1 Pt4'
_cell_length_a 4.2983
_cell_length_b 4.2983
_cell_length_c 10.4591
_cell_angle_alpha 90.00
_cell_angle_beta 90.00
_cell_angle_gamma 90.00
_space_group_name_H-M_alt 'P -4 m 2'
_space_group_IT_number 115
loop_
_space_group_symop_operation_xyz
'x,y,z'
'y,-x,-z'
'-x,-y,z'
'-y,x,-z'
'-x,y,z'
'-y,-x,-z'
'x,-y,z'
'y,x,-z'
loop_
_atom_site_label
_atom_site_fract_x
_atom_site_fract_y
_atom_site_fract_z
Nd1 0.0000 0.5000 0.2495
Ge1 0.0000 0.0000 0.0000
Ge2 0.0000 0.5000 0.6310
Ru1 0.5000 0.5000 0.0000
Pt1 0.0000 0.0000 0.5000
Pt2 0.0000 0.5000 0.8645
Pt3 0.5000 0.5000 0.5000
```

## Nd4GePtS2 (PBE)

Data for crystalline Nd4GePtS2 at its relaxed geometry.

Values from the calculation:
Its mass density is 7.3 Mg/m³. The value obtained for the total moment is 0.00 μB per cell. The raw formation energy is -1.44 eV/atom. The total energy is -6.19 eV per atom.

```
data_Nd4GePtS2
_chemical_formula_sum 'Nd4 Ge1 Pt1 S2'
_cell_length_a 7.2087
_cell_length_b 4.1423
_cell_length_c 7.3695
_cell_angle_alpha 90.00
_cell_angle_beta 109.25
_cell_angle_gamma 90.00
_space_group_name_H-M_alt 'P 1 2/m 1'
_space_group_IT_number 10
loop_
_space_group_symop_operation_xyz
'x,y,z'
'-x,-y,-z'
'-x,y,-z'
'x,-y,z'
loop_
_atom_site_label
_atom_site_fract_x
_atom_site_fract_y
_atom_site_fract_z
Nd1 0.2472 0.0000 0.2495
Nd2 0.2501 0.5000 0.7440
Ge1 0.5000 0.0000 0.0000
Pt1 0.0000 0.5000 0.0000
S1 0.0000 0.0000 0.5000
S2 0.5000 0.5000 0.5000
```

> Which of these has the lowest mass density?

Nd4GePtS2

Repeat the second record exactly.
## NdGe2PtRh2 (PBE)

Data for crystalline NdGe2PtRh2 at its relaxed geometry.

Values from the calculation:
The energy of formation from the pure elements is -0.22 eV per atom. Its mass density is 9.3 Mg/m³. The value obtained for the total moment is 0.00 μB per cell. The total energy is -6.02 eV per atom.

```
data_NdGe2PtRh2
_chemical_formula_sum 'Nd1 Ge2 Pt1 Rh2'
_cell_length_a 4.6742
_cell_length_b 4.6742
_cell_length_c 5.6303
_cell_angle_alpha 90.00
_cell_angle_beta 90.00
_cell_angle_gamma 90.00
_space_group_name_H-M_alt 'P 4/m m m'
_space_group_IT_number 123
_space_group_name_Hall '-P 4 2'
loop_
_atom_site_label
_atom_site_fract_x
_atom_site_fract_y
_atom_site_fract_z
Nd1 0.0000 0.0000 0.0000
Ge1 0.0000 0.5000 0.5000
Pt1 0.0000 0.0000 0.5000
Rh1 0.5000 0.5000 0.2453
```